[1]
# AgHgTeCl PBE-GGA optimized geometry
data_AgHgTeCl
_space_group_name_H-M_alt 'R 3 m'
_space_group_IT_number 160
_space_group_name_Hall 'R 3 -2"'
_cell_length_a 4.6328
_cell_length_b 4.6328
_cell_length_c 21.5751
_cell_angle_alpha 90.00
_cell_angle_beta 90.00
_cell_angle_gamma 120.00
loop_
_atom_site_label
_atom_site_fract_x
_atom_site_fract_y
_atom_site_fract_z
_atom_site_occupancy
Ag1 0.0000 0.0000 0.0000 1
Hg1 0.0000 0.0000 0.5193 1
Te1 0.0000 0.0000 0.6456 1
Cl1 0.0000 0.0000 0.1334 1
# * formation energy without anion corrections: -19.3 kJ/mol of atoms



[2]
# Th2SnHg3 PBE-GGA optimized geometry
data_Th2SnHg3
_space_group_name_H-M_alt 'P m m 2'
_space_group_IT_number 25
_cell_length_a 3.4929
_cell_length_b 5.0976
_cell_length_c 8.7997
_cell_angle_alpha 90.00
_cell_angle_beta 90.00
_cell_angle_gamma 90.00
loop_
_space_group_symop_operation_xyz
'x,y,z'
'-x,-y,z'
'-x,y,z'
'x,-y,z'
loop_
_atom_site_label
_atom_site_fract_x
_atom_site_fract_y
_atom_site_fract_z
_atom_site_occupancy
Th1 0.0000 0.0000 0.0000 1
Th2 0.0000 0.5000 0.4915 1
Sn1 0.5000 0.5000 0.8279 1
Hg1 0.5000 0.0000 0.3279 1
Hg2 0.5000 0.0000 0.6587 1
Hg3 0.5000 0.5000 0.1644 1
# * energy relative to the elements: -6.47 kcal/mol of atoms